VASP calculation (PBE) on a relaxed structure of NpRu2.

a = 5.2866 Å, b = 5.2866 Å, c = 5.2866 Å
α = 60.00°, β = 60.00°, γ = 60.00°
Fractional positions:
Np 0.1250 0.1250 0.1250
Np 0.8750 0.8750 0.8750
Ru 0.0000 0.5000 0.5000
Ru 0.5000 0.0000 0.5000
Ru 0.5000 0.5000 0.0000
Ru 0.5000 0.5000 0.5000

Computed properties:
ΔH_f (0 K): 0.0 kJ per mole of atoms
DOS(E_F): 2.5760 states/eV/atom
M_tot: 5.74 Bohr magnetons per cell
uncorrected energy: -10.497 eV/atom

***

VASP calculation (PBE) on a relaxed structure of NpRu2.

a = 8.9773 Å, b = 3.9679 Å, c = 5.8087 Å
α = 90.00°, β = 102.60°, γ = 90.00°
Fractional positions:
Np 0.1483 0.0000 0.2999
Np 0.3517 0.5000 0.7001
Np 0.6483 0.5000 0.2999
Np 0.8517 0.0000 0.7001
Ru 0.0000 0.5000 0.0000
Ru 0.0000 0.5000 0.5000
Ru 0.1746 0.0000 0.8238
Ru 0.3254 0.5000 0.1762
Ru 0.5000 0.0000 0.0000
Ru 0.5000 0.0000 0.5000
Ru 0.6746 0.5000 0.8238
Ru 0.8254 0.0000 0.1762

Computed properties:
ΔH_f (0 K): -0.8 kJ per mole of atoms
DOS(E_F): 1.6859 states/eV/atom
M_tot: 7.66 Bohr magnetons per cell
uncorrected energy: -10.505 eV/atom

***

VASP calculation (PBE) on a relaxed structure of NpRu2.

a = 2.9383 Å, b = 2.9383 Å, c = 11.4248 Å
α = 90.00°, β = 90.00°, γ = 90.00°
Fractional positions:
Np 0.0000 0.0000 0.0000
Np 0.5000 0.5000 0.5000
Ru 0.0000 0.0000 0.3292
Ru 0.0000 0.0000 0.6708
Ru 0.5000 0.5000 0.1708
Ru 0.5000 0.5000 0.8292

Computed properties:
ΔH_f (0 K): 28.8 kJ per mole of atoms
DOS(E_F): 1.9303 states/eV/atom
M_tot: 1.86 Bohr magnetons per cell
uncorrected energy: -10.199 eV/atom

***

VASP calculation (PBE) on a relaxed structure of NpRuS2.

a = 3.8994 Å, b = 3.8994 Å, c = 22.2063 Å
α = 90.00°, β = 90.00°, γ = 120.00°
Fractional positions:
Np 0.0000 0.0000 0.0000
Np 0.3333 0.6667 0.6667
Np 0.6667 0.3333 0.3333
Ru 0.0000 0.0000 0.5000
Ru 0.3333 0.6667 0.1667
Ru 0.6667 0.3333 0.8333
S 0.0000 0.0000 0.3982
S 0.0000 0.0000 0.6018
S 0.3333 0.6667 0.0649
S 0.3333 0.6667 0.2685
S 0.6667 0.3333 0.7315
S 0.6667 0.3333 0.9351

Computed properties:
DOS(E_F): 3.3931 states/eV/atom
E_form (uncorrected): -0.654 eV per formula unit
M_tot: 14.80 Bohr magnetons per cell
uncorrected energy: -7.781 eV/atom

***

VASP calculation (PBE) on a relaxed structure of Np2Tl3RuS6.

a = 6.4792 Å, b = 6.4792 Å, c = 8.1633 Å
α = 97.81°, β = 97.81°, γ = 120.09°
Fractional positions:
Np 0.1645 0.8355 0.0000
Np 0.8355 0.1645 0.0000
Tl 0.0000 0.0000 0.5000
Tl 0.3243 0.6757 0.5000
Tl 0.6757 0.3243 0.5000
Ru 0.5000 0.5000 0.0000
S 0.1289 0.4371 0.8129
S 0.2633 0.2633 0.1953
S 0.4371 0.1289 0.8129
S 0.5629 0.8711 0.1871
S 0.7367 0.7367 0.8047
S 0.8711 0.5629 0.1871

Computed properties:
DOS(E_F): 1.6290 states/eV/atom
E_form (uncorrected): -9.171 eV per formula unit
M_tot: 6.93 Bohr magnetons per cell
uncorrected energy: -6.349 eV/atom

***

VASP calculation (PBE) on a relaxed structure of Np2SbRu3.

a = 5.6900 Å, b = 5.6900 Å, c = 7.9177 Å
α = 90.00°, β = 90.00°, γ = 120.00°
Fractional positions:
Np 0.3333 0.6667 0.0774
Np 0.3333 0.6667 0.4226
Np 0.6667 0.3333 0.5774
Np 0.6667 0.3333 0.9226
Sb 0.0000 0.0000 0.0000
Sb 0.0000 0.0000 0.5000
Ru 0.1780 0.3560 0.7500
Ru 0.1780 0.8220 0.7500
Ru 0.3560 0.1780 0.2500
Ru 0.6440 0.8220 0.7500
Ru 0.8220 0.1780 0.2500
Ru 0.8220 0.6440 0.2500

Computed properties:
DOS(E_F): 2.3444 states/eV/atom
E_form (uncorrected): -0.842 eV per formula unit
M_tot: 12.70 Bohr magnetons per cell
uncorrected energy: -9.779 eV/atom

***

VASP calculation (PBE) on a relaxed structure of Np2SbRu2.

a = 4.7617 Å, b = 5.8136 Å, c = 7.1691 Å
α = 90.00°, β = 90.00°, γ = 90.00°
Fractional positions:
Np 0.0000 0.0000 0.1873
Np 0.0000 0.0000 0.8127
Np 0.5000 0.5000 0.3127
Np 0.5000 0.5000 0.6873
Sb 0.0000 0.5000 0.0000
Sb 0.5000 0.0000 0.5000
Ru 0.0000 0.2534 0.5000
Ru 0.0000 0.7466 0.5000
Ru 0.5000 0.2466 0.0000
Ru 0.5000 0.7534 0.0000

Computed properties:
DOS(E_F): 1.7014 states/eV/atom
E_form (uncorrected): -0.839 eV per formula unit
M_tot: 10.31 Bohr magnetons per cell
uncorrected energy: -9.879 eV/atom

***

VASP calculation (PBE) on a relaxed structure of NpSbRu.

a = 4.4155 Å, b = 4.5505 Å, c = 6.4574 Å
α = 90.00°, β = 110.00°, γ = 90.00°
Fractional positions:
Np 0.0910 0.2500 0.1827
Np 0.9090 0.7500 0.8173
Sb 0.3860 0.2500 0.7717
Sb 0.6140 0.7500 0.2283
Ru 0.2484 0.7500 0.4973
Ru 0.7516 0.2500 0.5027

Computed properties:
DOS(E_F): 1.8623 states/eV/atom
E_form (uncorrected): -0.657 eV per formula unit
M_tot: 7.14 Bohr magnetons per cell
uncorrected energy: -8.999 eV/atom

***

VASP calculation (PBE) on a relaxed structure of NpSbRu.

a = 4.6335 Å, b = 4.6335 Å, c = 3.3761 Å
α = 90.00°, β = 90.00°, γ = 120.00°
Fractional positions:
Np 0.0000 0.0000 0.0000
Sb 0.3333 0.6667 0.5000
Ru 0.6667 0.3333 0.5000

Computed properties:
DOS(E_F): 2.3910 states/eV/atom
E_form (uncorrected): -0.318 eV per formula unit
M_tot: 2.99 Bohr magnetons per cell
uncorrected energy: -8.886 eV/atom

***

VASP calculation (PBE) on a relaxed structure of NpSb2Ru2.

a = 4.6593 Å, b = 4.6292 Å, c = 10.0999 Å
α = 90.00°, β = 96.88°, γ = 90.00°
Fractional positions:
Np 0.1578 0.2500 0.1515
Np 0.8422 0.7500 0.8485
Sb 0.2456 0.2500 0.4828
Sb 0.3234 0.2500 0.7970
Sb 0.6766 0.7500 0.2030
Sb 0.7544 0.7500 0.5172
Ru 0.2162 0.7500 0.3458
Ru 0.3595 0.7500 0.9416
Ru 0.6405 0.2500 0.0584
Ru 0.7838 0.2500 0.6542

Computed properties:
DOS(E_F): 1.6204 states/eV/atom
E_form (uncorrected): -0.656 eV per formula unit
M_tot: 4.91 Bohr magnetons per cell
uncorrected energy: -8.079 eV/atom

***

VASP calculation (PBE) on a relaxed structure of Np3Sb3Ru2.

a = 8.2459 Å, b = 14.9695 Å, c = 5.8477 Å
α = 90.00°, β = 90.00°, γ = 90.00°
Fractional positions:
Np 0.0293 0.1055 0.0994
Np 0.0293 0.3945 0.0994
Np 0.1483 0.2500 0.6629
Np 0.3517 0.7500 0.1629
Np 0.4707 0.6055 0.5994
Np 0.4707 0.8945 0.5994
Np 0.5293 0.1055 0.4006
Np 0.5293 0.3945 0.4006
Np 0.6483 0.2500 0.8371
Np 0.8517 0.7500 0.3371
Np 0.9707 0.6055 0.9006
Np 0.9707 0.8945 0.9006
Sb 0.1819 0.0375 0.5913
Sb 0.1819 0.4625 0.5913
Sb 0.1918 0.7500 0.6629
Sb 0.3082 0.2500 0.1629
Sb 0.3181 0.5375 0.0913
Sb 0.3181 0.9625 0.0913
Sb 0.6819 0.0375 0.9087
Sb 0.6819 0.4625 0.9087
Sb 0.6918 0.7500 0.8371
Sb 0.8082 0.2500 0.3371
Sb 0.8181 0.5375 0.4087
Sb 0.8181 0.9625 0.4087
Ru 0.1009 0.6216 0.3598
Ru 0.1009 0.8784 0.3598
Ru 0.3991 0.1216 0.8598
Ru 0.3991 0.3784 0.8598
Ru 0.6009 0.6216 0.1402
Ru 0.6009 0.8784 0.1402
Ru 0.8991 0.1216 0.6402
Ru 0.8991 0.3784 0.6402

Computed properties:
DOS(E_F): 2.7792 states/eV/atom
E_form (uncorrected): -1.532 eV per formula unit
M_tot: 43.06 Bohr magnetons per cell
uncorrected energy: -8.909 eV/atom

***

VASP calculation (PBE) on a relaxed structure of Np2SbRu.

a = 3.9630 Å, b = 10.2234 Å, c = 8.3793 Å
α = 90.00°, β = 90.00°, γ = 90.00°
Fractional positions:
Np 0.0000 0.1144 0.0489
Np 0.0000 0.1144 0.4511
Np 0.0000 0.8856 0.5489
Np 0.0000 0.8856 0.9511
Np 0.5000 0.3856 0.5489
Np 0.5000 0.3856 0.9511
Np 0.5000 0.6144 0.0489
Np 0.5000 0.6144 0.4511
Sb 0.0000 0.4215 0.2500
Sb 0.0000 0.5785 0.7500
Sb 0.5000 0.0785 0.7500
Sb 0.5000 0.9215 0.2500
Ru 0.0000 0.2872 0.7500
Ru 0.0000 0.7128 0.2500
Ru 0.5000 0.2128 0.2500
Ru 0.5000 0.7872 0.7500

Computed properties:
DOS(E_F): 2.0819 states/eV/atom
E_form (uncorrected): -0.425 eV per formula unit
M_tot: 21.94 Bohr magnetons per cell
uncorrected energy: -9.926 eV/atom